TaCdNiAu | PBE | optimized geometry

Computed properties:
Formation energy from the elements, eV per atom: 0.2158
Crystal system: cubic
Offset from the most stable computed form, meV per atom: 155

abc: 4.5340 4.5340 4.5340
angles: 60.00 60.00 60.00
Sites, in units of the cell vectors:
Ta  0.0000  0.0000  0.0000
Ni  0.5000  0.5000  0.5000
Au  0.7500  0.7500  0.7500
Cd  0.2500  0.2500  0.2500

=====

DyLu6Co2Te2 | PBE | optimized geometry

Computed properties:
Total energy, eV/f.u.: -59.10
Crystal system: orthorhombic

abc: 9.1914 9.1914 9.1914
angles: 156.19 66.45 118.99
Sites, in units of the cell vectors:
Lu  0.0610  0.3746  0.6864
Lu  0.7189  0.5825  0.1364
Lu  0.6882  0.3746  0.3136
Lu  0.4461  0.5825  0.8636
Lu  0.3792  0.7296  0.6496
Lu  0.0800  0.7296  0.3504
Co  0.3076  0.0706  0.2369
Co  0.8337  0.0706  0.7631
Te  0.3402  0.3402  0.0000
Te  0.7319  0.2319  0.5000
Dy  0.0016  0.0016  0.0000

=====

NbAgSb | PBE | optimized geometry

Computed properties:
Crystal system: cubic
Offset from the most stable computed form, meV per atom: 0

abc: 4.6305 4.6305 4.6305
angles: 60.00 60.00 60.00
Sites, in units of the cell vectors:
Nb  0.0000  0.0000  0.0000
Ag  0.2500  0.2500  0.2500
Sb  0.7500  0.7500  0.7500

=====

Tc2Sb | PBE | optimized geometry

Computed properties:
Crystal system: cubic
Offset from the most stable computed form, meV per atom: 0

abc: 5.2922 5.2922 5.2922
angles: 60.00 60.00 60.00
Sites, in units of the cell vectors:
Tc  0.6250  0.6250  0.1250
Tc  0.6250  0.1250  0.6250
Tc  0.6250  0.6250  0.6250
Tc  0.1250  0.6250  0.6250
Sb  0.2500  0.2500  0.2500
Sb  0.0000  0.0000  0.0000

=====

AcNbRe | PBE | optimized geometry

Computed properties:
Formation energy from the elements, eV per atom: 1.9598
Crystal system: cubic
Offset from the most stable computed form, meV per atom: 1248

abc: 4.6953 4.6953 4.6953
angles: 60.00 60.00 60.00
Sites, in units of the cell vectors:
Ac  0.0000  0.0000  0.0000
Nb  0.2500  0.2500  0.2500
Re  0.7500  0.7500  0.7500

=====

YErGa2Ag2 | PBE | optimized geometry

Computed properties:
Crystal system: hexagonal
Offset from the most stable computed form, meV per atom: 0

abc: 4.5853 4.5853 7.0115
angles: 90.00 90.00 120.00
Sites, in units of the cell vectors:
Ga  0.3333  0.6667  0.7180
Ga  0.3333  0.6667  0.2820
Ag  0.6667  0.3333  0.7586
Ag  0.6667  0.3333  0.2414
Y  0.0000  0.0000  0.0000
Er  0.0000  0.0000  0.5000

=====

PrNdNi8B2 | PBE | optimized geometry

Computed properties:
Crystal system: hexagonal
Offset from the most stable computed form, meV per atom: 0

abc: 5.0903 5.0903 7.0198
angles: 90.00 90.00 120.00
Sites, in units of the cell vectors:
Ni  0.3333  0.6667  0.5000
Ni  0.0000  0.5000  0.7945
Ni  0.6667  0.3333  0.5000
Ni  0.5000  0.5000  0.7945
Ni  0.5000  0.5000  0.2055
Ni  0.5000  0.0000  0.7945
Ni  0.0000  0.5000  0.2055
Ni  0.5000  0.0000  0.2055
B  0.3333  0.6667  0.0000
B  0.6667  0.3333  0.0000
Nd  0.0000  0.0000  0.0000
Pr  0.0000  0.0000  0.5000

=====

ZrZn2Co | PBE | optimized geometry

Computed properties:
Formation energy from the elements, eV per atom: -0.1671
Crystal system: cubic

abc: 4.4054 4.4054 4.4054
angles: 60.00 60.00 60.00
Sites, in units of the cell vectors:
Co  0.2500  0.2500  0.2500
Zn  0.7500  0.7500  0.7500
Zn  0.0000  0.0000  0.0000
Zr  0.5000  0.5000  0.5000